(P)
Computed, not measured: ReP3Se after structural relaxation at the PBE level of DFT.

Cell lengths 4.586, 4.586, 4.586 Å; angles 90.00, 90.00, 90.00 degrees
Positions (direct):
1 Re 0.500 0.500 0.500
2 P 0.000 0.000 0.500
3 P 0.000 0.500 0.000
4 P 0.500 0.000 0.000
5 Se 0.000 0.000 0.000

=====

(Q)
Computed, not measured: ReP3Se after structural relaxation at the PBE level of DFT.

Cell lengths 4.625, 4.625, 4.625 Å; angles 90.00, 90.00, 90.00 degrees
Positions (direct):
1 P 0.000 0.000 0.500
2 P 0.000 0.500 0.000
3 P 0.500 0.000 0.000
4 Re 0.000 0.000 0.000
5 Se 0.500 0.500 0.500

=====

Decreasing stability: (Q), (P)

=====

(P)
Computed, not measured: Re2PSe2 after structural relaxation at the PBE level of DFT.

Cell lengths 7.511, 7.511, 2.928 Å; angles 90.00, 90.00, 90.00 degrees
Positions (direct):
1 Re 0.337 0.163 0.500
2 Re 0.837 0.337 0.500
3 Re 0.163 0.663 0.500
4 Re 0.663 0.837 0.500
5 P 0.500 0.500 0.000
6 P 0.000 0.000 0.000
7 Se 0.362 0.862 0.000
8 Se 0.638 0.138 0.000
9 Se 0.138 0.362 0.000
10 Se 0.862 0.638 0.000

=====

(Q)
Computed, not measured: Re2PSe2 after structural relaxation at the PBE level of DFT.

Cell lengths 4.337, 4.337, 5.801 Å; angles 68.05, 68.05, 90.00 degrees
Positions (direct):
1 Re 0.250 0.750 0.500
2 Re 0.750 0.250 0.500
3 Se 0.365 0.365 0.269
4 Se 0.635 0.635 0.731
5 P 0.000 0.000 0.000

=====

Decreasing stability: (Q), (P)